(1)
Here is Mg4AgHg after structural relaxation from the Alexandria database. Energies are from PBEsol.

Cell: 5.618 5.618 5.618 Å, 60.00 60.00 60.00°
Sites, in units of the cell vectors:
Mg 0.125 0.125 0.125
Mg 0.125 0.125 0.625
Mg 0.125 0.625 0.125
Mg 0.625 0.125 0.125
Ag 0.500 0.500 0.500
Hg 0.750 0.750 0.750

Output
- Density: 5.372 g cm⁻³
- ΔH_f (0 K): 98.8 meV/atom

(2)
Here is MgAgHg2 after structural relaxation from the Alexandria database. Energies are from PBEsol.

Cell: 5.083 5.083 5.083 Å, 128.84 128.84 75.26°
Sites, in units of the cell vectors:
Mg 0.000 0.000 0.000
Ag 0.500 0.500 0.000
Hg 0.250 0.750 0.500
Hg 0.750 0.250 0.500

Output
- Density: 11.420 g cm⁻³
- ΔH_f (0 K): -160.9 meV/atom

(3)
Here is MgAg2Hg after structural relaxation from the Alexandria database. Energies are from PBEsol.

Cell: 4.673 4.673 4.673 Å, 60.00 60.00 60.00°
Sites, in units of the cell vectors:
Mg 0.000 0.000 0.000
Ag 0.500 0.500 0.500
Ag 0.750 0.750 0.750
Hg 0.250 0.250 0.250

Output
- Density: 10.139 g cm⁻³
- ΔH_f (0 K): -160.0 meV/atom

(4)
Here is MgAgHg2 after structural relaxation from the Alexandria database. Energies are from PBEsol.

Cell: 5.154 5.154 4.855 Å, 102.73 102.73 38.99°
Sites, in units of the cell vectors:
Mg 0.000 0.000 0.000
Ag 0.261 0.261 0.749
Hg 0.510 0.510 0.519
Hg 0.748 0.748 0.232

Output
- Density: 11.227 g cm⁻³
- ΔH_f (0 K): -134.8 meV/atom

(5)
Here is Mg2AgHg after structural relaxation from the Alexandria database. Energies are from PBEsol.

Cell: 5.312 5.312 4.743 Å, 107.28 107.28 37.14°
Sites, in units of the cell vectors:
Mg 0.000 0.000 0.000
Mg 0.229 0.229 0.665
Ag 0.489 0.489 0.497
Hg 0.748 0.748 0.181

Output
- Density: 7.727 g cm⁻³
- ΔH_f (0 K): -222.1 meV/atom

(6)
Here is MgAgHg2 after structural relaxation from the Alexandria database. Energies are from PBEsol.

Cell: 5.582 5.582 5.582 Å, 142.99 130.65 63.26°
Sites, in units of the cell vectors:
Mg 0.000 0.000 0.000
Ag 0.241 0.741 0.500
Hg 0.488 0.488 0.000
Hg 0.748 0.248 0.500

Output
- Density: 11.284 g cm⁻³
- ΔH_f (0 K): -124.8 meV/atom

(7)
Here is MgAgHg2 after structural relaxation from the Alexandria database. Energies are from PBEsol.

Cell: 3.600 3.600 6.065 Å, 90.00 90.00 90.00°
Sites, in units of the cell vectors:
Mg 0.000 0.000 0.000
Ag 0.500 0.500 0.237
Hg 0.000 0.000 0.478
Hg 0.500 0.500 0.757

Output
- Density: 11.266 g cm⁻³
- ΔH_f (0 K): -146.0 meV/atom

(8)
Here is Mn2AgHg after structural relaxation from the Alexandria database. Energies are from PBEsol.

Cell: 2.994 3.688 5.895 Å, 90.00 90.00 90.00°
Sites, in units of the cell vectors:
Mn 0.000 0.000 0.242
Mn 0.000 0.000 0.758
Ag 0.500 0.500 0.000
Hg 0.500 0.500 0.500

Output
- Density: 10.673 g cm⁻³
- ΔH_f (0 K): 411.4 meV/atom

| no. | density of states at the Fermi level (states/eV per cell) |
| --- | --- |
| 1 | 1.6 |
| 2 | 1.2 |
| 3 | 0.9 |
| 4 | 1.2 |
| 5 | 1.1 |
| 6 | 1.1 |
| 7 | 1.1 |
| 8 | 3.4 |